This record from the Alexandria database describes Tb2Dy2Ir3 after structural relaxation. The functional is PBE.

- Offset from the most stable computed form: 6 meV/atom
- SG: No. 12
- Formation energy from the elements: -0.799 eV/atom

Cell: 4.821 4.826 8.389 Å, 106.75 89.98 119.99°
Sites, in units of the cell vectors:
Tb 0.623 0.247 0.871
Tb 0.377 0.753 0.129
Dy 0.874 0.748 0.623
Dy 0.126 0.252 0.377
Ir 0.000 0.000 0.000
Ir 0.752 0.502 0.252
Ir 0.248 0.498 0.748

---

This record from the Alexandria database describes LiLaCd4 after structural relaxation. The functional is PBE.

- Offset from the most stable computed form: 0 meV/atom
- SG: No. 51
- Formation energy from the elements: -0.249 eV/atom

Cell: 4.322 7.695 8.496 Å, 90.00 90.00 90.00°
Sites, in units of the cell vectors:
Li 0.000 0.201 0.750
Li 0.000 0.799 0.250
La 0.000 0.617 0.750
La 0.000 0.383 0.250
Cd 0.000 0.000 0.500
Cd 0.000 0.000 0.000
Cd 0.500 0.941 0.750
Cd 0.500 0.059 0.250
Cd 0.500 0.690 0.058
Cd 0.500 0.310 0.942
Cd 0.500 0.690 0.442
Cd 0.500 0.310 0.558

---

This record from the Alexandria database describes Sr2Li3Zn12Ag after structural relaxation. The functional is PBE.

- SG: No. 166
- Formation energy from the elements: -0.026 eV/atom

Cell: 10.794 10.794 10.794 Å, 34.60 34.60 34.60°
Sites, in units of the cell vectors:
Sr 0.646 0.646 0.646
Sr 0.354 0.354 0.354
Li 0.500 0.000 0.000
Li 0.000 0.500 0.000
Li 0.000 0.000 0.500
Zn 0.417 0.417 0.812
Zn 0.919 0.919 0.374
Zn 0.374 0.919 0.919
Zn 0.812 0.417 0.417
Zn 0.919 0.374 0.919
Zn 0.417 0.812 0.417
Zn 0.583 0.583 0.188
Zn 0.081 0.081 0.626
Zn 0.626 0.081 0.081
Zn 0.188 0.583 0.583
Zn 0.081 0.626 0.081
Zn 0.583 0.188 0.583
Ag 0.000 0.000 0.000

---

This record from the Alexandria database describes NaCd2Pt2 after structural relaxation. The functional is PBE.

- Offset from the most stable computed form: 143 meV/atom
- SG: No. 139
- Formation energy from the elements: -0.186 eV/atom

Cell: 4.387 4.387 6.622 Å, 70.65 70.65 90.00°
Sites, in units of the cell vectors:
Na 0.000 0.000 0.000
Pt 0.392 0.392 0.216
Pt 0.608 0.608 0.784
Cd 0.750 0.250 0.500
Cd 0.250 0.750 0.500